# Tl2SiO3, relaxed, DFT PBE
# Magnetization   0.000 μB/f.u.
# DFT total energy   -5.796 eV per atom
# E_form (uncorrected)   -1.625 eV/atom
# V   438.9 Å³/cell
data_Tl2SiO3
_space_group_name_H-M_alt 'C 1 2/c 1'
_space_group_IT_number 15
_cell_length_a 13.0438
_cell_length_b 6.8082
_cell_length_c 4.9812
_cell_angle_alpha 90.00
_cell_angle_beta 97.18
_cell_angle_gamma 90.00
loop_
_space_group_symop_operation_xyz
'x,y,z'
'-x,-y,-z'
'-x,y,-z+1/2'
'x,-y,z+1/2'
'x+1/2,y+1/2,z'
'-x+1/2,-y+1/2,-z'
'-x+1/2,y+1/2,-z+1/2'
'x+1/2,-y+1/2,z+1/2'
loop_
_atom_site_label
_atom_site_type_symbol
_atom_site_fract_x
_atom_site_fract_y
_atom_site_fract_z
Tl1 Tl 0.1434 0.1715 0.2028
Si1 Si 0.0000 0.4201 0.7500
O1 O 0.0000 0.1782 0.7500
O2 O 0.0852 0.4574 0.4796

=====

# Tl3SiO4, relaxed, DFT PBE
# Magnetization   0.000 μB/f.u.
# DFT total energy   -5.409 eV per atom
# E_form (uncorrected)   -1.365 eV/atom
# V   287.7 Å³/cell
data_Tl3SiO4
_space_group_name_H-M_alt 'I m m 2'
_space_group_IT_number 44
_cell_length_a 5.9282
_cell_length_b 7.8523
_cell_length_c 6.1794
_cell_angle_alpha 90.00
_cell_angle_beta 90.00
_cell_angle_gamma 90.00
loop_
_space_group_symop_operation_xyz
'x,y,z'
'-x,-y,z'
'-x,y,z'
'x,-y,z'
'x+1/2,y+1/2,z+1/2'
'-x+1/2,-y+1/2,z+1/2'
'-x+1/2,y+1/2,z+1/2'
'x+1/2,-y+1/2,z+1/2'
loop_
_atom_site_label
_atom_site_type_symbol
_atom_site_fract_x
_atom_site_fract_y
_atom_site_fract_z
Tl1 Tl 0.0000 0.0000 0.0000
Tl2 Tl 0.0000 0.2338 0.4967
Si1 Si 0.0000 0.5000 0.9737
O1 O 0.0000 0.3251 0.1225
O2 O 0.2334 0.5000 0.8231

=====

# Tl2Si2O5, relaxed, DFT PBE
# Magnetization   0.000 μB/f.u.
# DFT total energy   -6.449 eV per atom
# E_form (uncorrected)   -1.963 eV/atom
# V   324.0 Å³/cell
data_Tl2Si2O5
_space_group_name_H-M_alt 'C 1 2/m 1'
_space_group_IT_number 12
_cell_length_a 9.2986
_cell_length_b 3.6468
_cell_length_c 9.9802
_cell_angle_alpha 90.00
_cell_angle_beta 106.76
_cell_angle_gamma 90.00
loop_
_space_group_symop_operation_xyz
'x,y,z'
'-x,-y,-z'
'-x,y,-z'
'x,-y,z'
'x+1/2,y+1/2,z'
'-x+1/2,-y+1/2,-z'
'-x+1/2,y+1/2,-z'
'x+1/2,-y+1/2,z'
loop_
_atom_site_label
_atom_site_type_symbol
_atom_site_fract_x
_atom_site_fract_y
_atom_site_fract_z
Tl1 Tl 0.0751 0.0000 0.3555
Si1 Si 0.1393 0.5000 0.9319
O1 O 0.0000 0.5000 0.0000
O2 O 0.0880 0.5000 0.7607
O3 O 0.1810 0.0000 0.9566

=====

# Tl6Si2O7, relaxed, DFT PBE
# Magnetization   0.000 μB/f.u.
# Relative energy among the computed polymorphs   204 kJ/mol of formula units
# DFT total energy   -5.421 eV per atom
# E_form (uncorrected)   -1.437 eV/atom
# V   372.8 Å³/cell
data_Tl6Si2O7
_space_group_name_H-M_alt 'P 3'
_space_group_IT_number 143
_cell_length_a 9.3745
_cell_length_b 9.3745
_cell_length_c 4.8984
_cell_angle_alpha 90.00
_cell_angle_beta 90.00
_cell_angle_gamma 120.00
loop_
_space_group_symop_operation_xyz
'x,y,z'
'-y,x-y,z'
'-x+y,-x,z'
loop_
_atom_site_label
_atom_site_type_symbol
_atom_site_fract_x
_atom_site_fract_y
_atom_site_fract_z
Tl1 Tl 0.0079 0.6254 0.0000
Tl2 Tl 0.2692 0.0263 0.4687
Si1 Si 0.0000 0.0000 0.9507
Si2 Si 0.3333 0.6667 0.5101
O1 O 0.0000 0.0000 0.6122
O2 O 0.0903 0.1942 0.0538
O3 O 0.1880 0.7084 0.5099